1.
LuHfBeCo after structural relaxation. Source: Alexandria, functional PBE-GGA.

Cell lengths 4.5491, 4.5491, 4.5491 Å; angles 60.00, 60.00, 60.00 degrees
With the nearest neighbours (Å) after each atom.
Positions (direct):
Lu 0.0000 0.0000 0.0000  4 Co 2.79, 4 Be 2.79
Hf 0.5000 0.5000 0.5000  4 Co 2.79, 4 Be 2.79
Be 0.2500 0.2500 0.2500  4 Hf 2.79, 4 Lu 2.79
Co 0.7500 0.7500 0.7500  4 Hf 2.79, 4 Lu 2.79

Output
energy = -25.8 eV for the cell shown
DFT formation energy = -112 meV per atom
crystal system = cubic

2.
HfMgBeCo after structural relaxation. Source: Alexandria, functional PBE-GGA.

Cell lengths 4.3511, 4.3511, 4.3511 Å; angles 60.00, 60.00, 60.00 degrees
With the nearest neighbours (Å) after each atom.
Positions (direct):
Hf 0.0000 0.0000 0.0000  4 Be 2.66, 4 Co 2.66
Mg 0.5000 0.5000 0.5000  4 Co 2.66, 4 Be 2.66
Be 0.7500 0.7500 0.7500  4 Hf 2.66, 4 Mg 2.66
Co 0.2500 0.2500 0.2500  4 Hf 2.66, 4 Mg 2.66

Output
energy = -22.6 eV for the cell shown
DFT formation energy = -46 meV per atom
crystal system = cubic

3.
Hf2Be2Co5Mo after structural relaxation. Source: Alexandria, functional PBE-GGA.

Cell lengths 8.6862, 8.6862, 3.2479 Å; angles 90.00, 90.00, 90.00 degrees
With the nearest neighbours (Å) after each atom.
Positions (direct):
Hf 0.1758 0.3242 0.0000  3 Be 2.54-2.60, 10 Co 2.70-2.84
Hf 0.3242 0.8242 0.0000  3 Be 2.54-2.60, 10 Co 2.70-2.84
Hf 0.6758 0.1758 0.0000  3 Be 2.54-2.60, 10 Co 2.70-2.84
Hf 0.8242 0.6758 0.0000  3 Be 2.54-2.60, 10 Co 2.70-2.84
Be 0.1177 0.6177 0.0000  6 Co 2.17-2.24
Be 0.3823 0.1177 0.0000  6 Co 2.17-2.24
Be 0.6177 0.8823 0.0000  6 Co 2.17-2.24
Be 0.8823 0.3823 0.0000  6 Co 2.17-2.24
Co 0.0000 0.5000 0.5000  4 Be 2.17
Co 0.0674 0.7875 0.5000  2 Be 2.24
Co 0.2125 0.0674 0.5000  2 Be 2.24
Co 0.2875 0.5674 0.5000  2 Be 2.24
Co 0.4326 0.2875 0.5000  2 Be 2.24
Co 0.5000 0.0000 0.5000  4 Be 2.17
Co 0.5674 0.7125 0.5000  2 Be 2.24
Co 0.7125 0.4326 0.5000  2 Be 2.24
Co 0.7875 0.9326 0.5000  2 Be 2.24
Co 0.9326 0.2125 0.5000  2 Be 2.24
Mo 0.0000 0.0000 0.0000  8 Co 2.53
Mo 0.5000 0.5000 0.0000  8 Co 2.53

Output
energy = -154.2 eV for the cell shown
DFT formation energy = -337 meV per atom
crystal system = tetragonal

4.
HfBeCoN2 after structural relaxation. Source: Alexandria, functional PBE-GGA.

Cell lengths 3.7995, 3.7995, 3.5447 Å; angles 90.00, 90.00, 90.00 degrees
With the nearest neighbours (Å) after each atom.
Positions (direct):
Hf 0.0000 0.0000 0.0000  8 N 2.60, 4 Be 2.69
Be 0.5000 0.5000 0.0000  2 Co 1.77
Co 0.5000 0.5000 0.5000  2 Be 1.77, 4 N 1.90
N 0.0000 0.5000 0.5000  2 Co 1.90
N 0.5000 0.0000 0.5000  2 Co 1.90

Output
energy = -35.1 eV for the cell shown
crystal system = tetragonal

5.
HfBeCoNi after structural relaxation. Source: Alexandria, functional PBE-GGA.

Cell lengths 4.1500, 4.1500, 4.1500 Å; angles 60.00, 60.00, 60.00 degrees
With the nearest neighbours (Å) after each atom.
Positions (direct):
Hf 0.0000 0.0000 0.0000  4 Co 2.54, 4 Ni 2.54
Be 0.5000 0.5000 0.5000  4 Co 2.54, 4 Ni 2.54
Co 0.7500 0.7500 0.7500  4 Hf 2.54, 4 Be 2.54
Ni 0.2500 0.2500 0.2500  4 Hf 2.54, 4 Be 2.54

Output
energy = -27.8 eV for the cell shown
DFT formation energy = -302 meV per atom
crystal system = cubic

6.
HfBeCoPb2 after structural relaxation. Source: Alexandria, functional PBE-GGA.

Cell lengths 4.9433, 4.9433, 4.7637 Å; angles 90.00, 90.00, 90.00 degrees
With the nearest neighbours (Å) after each atom.
Positions (direct):
Hf 0.0000 0.0000 0.0000  2 Co 2.38
Be 0.5000 0.5000 0.0000  8 Pb 3.43, 4 Hf 3.50
Co 0.0000 0.0000 0.5000  2 Hf 2.38, 4 Pb 2.47
Pb 0.0000 0.5000 0.5000  2 Co 2.47
Pb 0.5000 0.0000 0.5000  2 Co 2.47

Output
energy = -24.6 eV for the cell shown
DFT formation energy = 715 meV per atom
crystal system = tetragonal

7.
HfBeCoRh2 after structural relaxation. Source: Alexandria, functional PBE-GGA.

Cell lengths 4.1384, 4.1384, 3.9928 Å; angles 90.00, 90.00, 90.00 degrees
With the nearest neighbours (Å) after each atom.
Positions (direct):
Hf 0.0000 0.0000 0.0000  8 Rh 2.88, 4 Co 2.93
Be 0.5000 0.5000 0.5000  2 Co 2.00, 4 Rh 2.07
Co 0.5000 0.5000 0.0000  2 Be 2.00
Rh 0.0000 0.5000 0.5000  2 Be 2.07
Rh 0.5000 0.0000 0.5000  2 Be 2.07

Output
energy = -37.7 eV for the cell shown
DFT formation energy = -442 meV per atom
crystal system = tetragonal

8.
Hf2Be2Co5Si after structural relaxation. Source: Alexandria, functional PBE-GGA.

Cell lengths 8.6827, 8.6827, 3.0983 Å; angles 90.00, 90.00, 90.00 degrees
With the nearest neighbours (Å) after each atom.
Positions (direct):
Hf 0.1766 0.3234 0.0000  3 Be 2.51-2.61, 10 Co 2.67-2.80
Hf 0.3234 0.8234 0.0000  3 Be 2.51-2.61, 10 Co 2.67-2.80
Hf 0.6766 0.1766 0.0000  3 Be 2.51-2.61, 10 Co 2.67-2.80
Hf 0.8234 0.6766 0.0000  3 Be 2.51-2.61, 10 Co 2.67-2.80
Be 0.1188 0.6188 0.0000  6 Co 2.13-2.20
Be 0.3812 0.1188 0.0000  6 Co 2.13-2.20
Be 0.6188 0.8812 0.0000  6 Co 2.13-2.20
Be 0.8812 0.3812 0.0000  6 Co 2.13-2.20
Co 0.0000 0.5000 0.5000  4 Be 2.13
Co 0.0658 0.7908 0.5000  2 Be 2.20, 2 Si 2.45
Co 0.2092 0.0658 0.5000  2 Be 2.20, 2 Si 2.45
Co 0.2908 0.5658 0.5000  2 Be 2.20, 2 Si 2.45
Co 0.4342 0.2908 0.5000  2 Be 2.20, 2 Si 2.45
Co 0.5000 0.0000 0.5000  4 Be 2.13
Co 0.5658 0.7092 0.5000  2 Be 2.20, 2 Si 2.45
Co 0.7092 0.4342 0.5000  2 Be 2.20, 2 Si 2.45
Co 0.7908 0.9342 0.5000  2 Be 2.20, 2 Si 2.45
Co 0.9342 0.2092 0.5000  2 Be 2.20, 2 Si 2.45
Si 0.0000 0.0000 0.0000  8 Co 2.45
Si 0.5000 0.5000 0.0000  8 Co 2.45

Output
energy = -146.9 eV for the cell shown
crystal system = tetragonal